A plane-wave DFT calculation with GGA+U was carried out for a relaxed CuMo3F crystal.

abc: 4.1986 4.1986 4.1986
angles: 90.00 90.00 90.00
Closest atoms and distances in Å follow each position.
Atoms (fractional coordinates):
Mo1 0.0000 0.0000 0.5000  2 F 2.10
Mo2 0.5000 0.0000 0.0000  2 F 2.10
Mo3 0.0000 0.5000 0.0000  2 F 2.10
F1 0.0000 0.0000 0.0000  6 Mo 2.10
Cu1 0.5000 0.5000 0.5000  12 Mo 2.97

Calculated values
SG: Pm-3m, No. 221
Size of the total moment in μB per formula unit: 0.00
Total DFT energy (no corrections) in eV/f.u.: -20.871